# 1
ScCo2 | PBE | optimized geometry

## Properties
**Energy**: -6.9669 eV/atom
**Size of the total moment**: 0.422 μB/atom
**Energy of formation**: -119.1 meV/atom
**V**: 92 Å³/cell
**SG**: I4_1/amd

abc: 7.0051 7.0051 7.0051
angles: 148.88 148.88 44.59
With the nearest neighbours (Å) after each atom.
Fractional positions:
Co  0.5842  0.5842  0.0000  3 Co 2.16-2.18
Co  0.3342  0.8342  0.5000  3 Co 2.16-2.18
Co  0.4158  0.4158  0.0000  3 Co 2.16-2.18
Co  0.1658  0.6658  0.5000  3 Co 2.16-2.18
Sc  0.0000  0.0000  0.0000  12 Co 2.86-2.87
Sc  0.7500  0.2500  0.5000  12 Co 2.86-2.87



# 2
ScCo2 | PBE | optimized geometry

## Properties
**Energy**: -6.6232 eV/atom
**Size of the total moment**: 0.677 μB/atom
**Energy of formation**: 224.5 meV/atom
**V**: 134 Å³/cell
**SG**: P-62m

abc: 5.9991 5.9991 4.2890
angles: 90.00 90.00 120.00
With the nearest neighbours (Å) after each atom.
Fractional positions:
Co  0.2264  0.0000  0.0000  2 Co 2.35, 4 Sc 2.39-2.54
Co  0.4868  0.4868  0.5000  6 Co 2.75-3.00, 6 Sc 2.76-3.08
Co  0.7736  0.7736  0.0000  2 Co 2.35, 4 Sc 2.39-2.54
Co  0.0000  0.5132  0.5000  6 Co 2.75-3.00, 6 Sc 2.76-3.08
Co  0.0000  0.2264  0.0000  2 Co 2.35, 4 Sc 2.39-2.54
Co  0.5132  0.0000  0.5000  6 Co 2.75-3.00, 6 Sc 2.76-3.08
Sc  0.6667  0.3333  0.0000  3 Co 2.39
Sc  0.3333  0.6667  0.0000  3 Co 2.39
Sc  0.0000  0.0000  0.5000  6 Co 2.54



# 3
ScCo3 | PBE | optimized geometry

## Properties
**Energy**: -6.8837 eV/atom
**Size of the total moment**: 1.036 μB/atom
**Energy of formation**: 28.6 meV/atom
**V**: 107 Å³/cell
**SG**: Pm-3n

abc: 4.7464 4.7464 4.7464
angles: 90.00 90.00 90.00
With the nearest neighbours (Å) after each atom.
Fractional positions:
Co  0.5000  0.0000  0.7500  2 Co 2.37, 4 Sc 2.65
Co  0.0000  0.2500  0.5000  2 Co 2.37, 4 Sc 2.65
Co  0.2500  0.5000  0.0000  2 Co 2.37, 4 Sc 2.65
Co  0.7500  0.5000  0.0000  2 Co 2.37, 4 Sc 2.65
Co  0.0000  0.7500  0.5000  2 Co 2.37, 4 Sc 2.65
Co  0.5000  0.0000  0.2500  2 Co 2.37, 4 Sc 2.65
Sc  0.0000  0.0000  0.0000  12 Co 2.65
Sc  0.5000  0.5000  0.5000  12 Co 2.65



# 4
Sc13Co2 | PBE | optimized geometry

## Properties
**Energy**: -6.4921 eV/atom
**Size of the total moment**: 0.001 μB/atom
**Energy of formation**: -57.3 meV/atom
**V**: 340 Å³/cell
**SG**: P-1

abc: 5.8059 7.4243 8.7883
angles: 114.83 89.20 97.54
With the nearest neighbours (Å) after each atom.
Fractional positions:
Sc  0.4207  0.3305  0.5617  1 Co 2.49
Sc  0.2243  0.3803  0.9395  12 Sc 3.20-3.40
Sc  0.6916  0.1562  0.7710  1 Co 2.48
Sc  0.5793  0.6695  0.4383  1 Co 2.49
Sc  0.3084  0.8438  0.2290  1 Co 2.48
Sc  0.4397  0.7730  0.8531  1 Co 2.50
Sc  0.0000  0.0000  0.0000  2 Co 2.51
Sc  0.7757  0.6197  0.0605  12 Sc 3.20-3.40
Sc  0.5603  0.2270  0.1469  1 Co 2.50
Sc  0.0498  0.4892  0.3186  1 Co 2.48
Sc  0.9502  0.5108  0.6814  1 Co 2.48
Sc  0.1744  0.9396  0.6110  1 Co 2.51
Sc  0.8256  0.0604  0.3890  1 Co 2.51
Co  0.8032  0.8230  0.7124  6 Sc 2.48-2.51
Co  0.1968  0.1770  0.2876  6 Sc 2.48-2.51



Which value of energy of formation does entry 1 give? -119.1 meV/atom



Which of these has the highest energy of formation? number 2